# Ba2HfNiS6

A geometry-optimized Ba2HfNiS6 structure (PBE, OQMD via LeMat-Bulk).

Properties
Magnetization = 0.50 μB/cell
DFT total energy = -56.53 eV for the cell shown

Geometry as POSCAR:
```
Ba2HfNiS6
1.0
-3.4106 4.8233 3.4106
3.4106 -4.8233 3.4106
3.4106 4.8233 -3.4106
Ba Hf Ni S
2 1 1 6
Direct
0.7500 0.5000 0.2500
0.2500 0.5000 0.7500
0.0000 0.0000 0.0000
0.5000 0.0000 0.5000
0.7410 0.0000 0.2590
0.2590 0.0000 0.2590
0.2590 0.5180 0.2590
0.2590 0.0000 0.7410
0.7410 0.0000 0.7410
0.7410 0.4820 0.7410
```